# 1
This record from Alexandria via LeMat-Bulk describes an optimized crystal structure of MnFePt2. The functional is PBE.

Unit cell a=8.860 b=2.791 c=4.827 alpha=90.00 beta=100.68 gamma=90.00
Space group C2/m (No. 12)
One atom of each set of equivalent atoms:
Mn: 0.000 0.000 0.000 x2
Fe: 0.000 0.500 0.500 x2
Pt: 0.249 0.000 0.747 x4

## Properties
* DOS(E_F): 7.76 states/eV/cell
* formation energy from the elements: -129 meV/atom
* M_tot: 7.38 μB per formula unit
* mass density: 14.2 g/cm3


# 2
This record from Alexandria via LeMat-Bulk describes an optimized crystal structure of Ce4ReN7. The functional is PBE.

Unit cell a=13.093 b=3.933 c=9.250 alpha=90.00 beta=131.93 gamma=90.00
Space group C2/m (No. 12)
One atom of each set of equivalent atoms:
Ce: 0.090 0.000 0.396 x4
Ce: 0.240 0.500 0.827 x4
Re: 0.000 0.500 0.000 x2
N: 0.000 0.000 0.000 x2
N: 0.088 0.500 0.899 x4
N: 0.126 0.000 0.691 x4
N: 0.201 0.500 0.554 x4

## Properties
* DOS(E_F): 13.08 states/eV/cell
* M_tot: 0.00 μB per formula unit
* ΔE_f (raw): -1.0147 eV per atom
* mass density: 7.9 g/cm3


# 3
This record from Alexandria via LeMat-Bulk describes an optimized crystal structure of Er2TmTh3. The functional is PBE.

Unit cell a=10.165 b=11.233 c=6.684 alpha=90.00 beta=90.11 gamma=90.00
Space group C2/c (No. 15)
One atom of each set of equivalent atoms:
Er: 0.167 0.230 0.250 x8
Tm: 0.000 0.270 0.750 x4
Th: 0.000 0.000 0.000 x4
Th: 0.167 0.500 0.499 x8

## Properties
* DOS(E_F): 29.15 states/eV/cell
* formation energy from the elements: 184 meV/atom
* M_tot: 0.00 μB per formula unit
* mass density: 10.4 g/cm3


# 4
This record from Alexandria via LeMat-Bulk describes an optimized crystal structure of TbHoTcAu. The functional is PBE.

Unit cell a=7.004 b=7.004 c=7.004 alpha=90.00 beta=90.00 gamma=90.00
Space group F-43m (No. 216)
One atom of each set of equivalent atoms:
Tb: 0.000 0.000 0.000 x4
Ho: 0.000 0.000 0.500 x4
Tc: 0.250 0.250 0.250 x4
Au: 0.250 0.250 0.750 x4

## Properties
* DOS(E_F): 6.95 states/eV/cell
* formation energy from the elements: -359 meV/atom
* M_tot: 0.00 μB per formula unit
* mass density: 12.0 g/cm3


# 5
This record from Alexandria via LeMat-Bulk describes an optimized crystal structure of ZnMoW2. The functional is PBE.

Unit cell a=3.298 b=3.298 c=5.718 alpha=90.00 beta=90.00 gamma=90.00
Space group P4/mmm (No. 123)
One atom of each set of equivalent atoms:
Zn: 0.000 0.000 0.000 x1
Mo: 0.000 0.000 0.500 x1
W: 0.500 0.500 0.242 x2

## Properties
* DOS(E_F): 3.61 states/eV/cell
* formation energy from the elements: 288 meV/atom
* M_tot: 0.00 μB per formula unit
* mass density: 14.1 g/cm3


# 6
This record from Alexandria via LeMat-Bulk describes an optimized crystal structure of Ba2NdDyTi2Cu2O11. The functional is PBE.

Unit cell a=3.913 b=3.913 c=16.000 alpha=90.00 beta=90.00 gamma=90.00
Space group P4/mmm (No. 123)
One atom of each set of equivalent atoms:
Ba: 0.000 0.000 0.231 x2
Nd: 0.000 0.000 0.500 x1
Dy: 0.000 0.000 0.000 x1
Ti: 0.500 0.500 0.373 x2
Cu: 0.500 0.500 0.100 x2
O: 0.000 0.500 0.090 x4
O: 0.000 0.500 0.387 x4
O: 0.500 0.500 0.257 x2
O: 0.500 0.500 0.500 x1

## Properties
* DOS(E_F): 2.29 states/eV/cell
* M_tot: 0.00 μB per formula unit
* ΔE_f (raw): -2.6364 eV per atom
* mass density: 6.6 g/cm3


# 7
This record from Alexandria via LeMat-Bulk describes an optimized crystal structure of HoTm8Tl2. The functional is PBE.

Unit cell a=8.780 b=15.038 c=5.486 alpha=90.00 beta=113.30 gamma=90.00
Space group C2/m (No. 12)
One atom of each set of equivalent atoms:
Ho: 0.000 0.000 0.000 x2
Tm: 0.000 0.216 0.000 x4
Tm: 0.099 0.500 0.798 x4
Tm: 0.209 0.113 0.618 x8
Tl: 0.000 0.306 0.500 x4

## Properties
* DOS(E_F): 29.11 states/eV/cell
* formation energy from the elements: 13 meV/atom
* M_tot: 0.00 μB per formula unit
* mass density: 9.6 g/cm3


# 8
This record from Alexandria via LeMat-Bulk describes an optimized crystal structure of BaCr3Sn. The functional is PBE.

Unit cell a=5.351 b=5.351 c=5.351 alpha=90.00 beta=90.00 gamma=90.00
Space group Pm-3m (No. 221)
One atom of each set of equivalent atoms:
Ba: 0.000 0.000 0.000 x1
Cr: 0.000 0.500 0.500 x3
Sn: 0.500 0.500 0.500 x1

## Properties
* DOS(E_F): 3.20 states/eV/cell
* formation energy from the elements: 929 meV/atom
* M_tot: 13.80 μB per formula unit
* relative energy among the computed polymorphs: 0 meV per atom
* mass density: 4.5 g/cm3


# 9
This record from Alexandria via LeMat-Bulk describes an optimized crystal structure of PmMnSi2Ni. The functional is PBE.

Unit cell a=3.999 b=3.999 c=9.861 alpha=90.00 beta=90.00 gamma=90.00
Space group I-4m2 (No. 119)
One atom of each set of equivalent atoms:
Pm: 0.000 0.000 0.000 x2
Mn: 0.000 0.500 0.250 x2
Si: 0.000 0.000 0.369 x4
Ni: 0.000 0.500 0.750 x2

## Properties
* DOS(E_F): 7.27 states/eV/cell
* M_tot: 0.01 μB per formula unit
* ΔE_f (raw): -0.6649 eV per atom
* mass density: 6.6 g/cm3


# 10
This record from Alexandria via LeMat-Bulk describes an optimized crystal structure of CaTmLuMg. The functional is PBE.

Unit cell a=7.833 b=7.833 c=7.833 alpha=90.00 beta=90.00 gamma=90.00
Space group F-43m (No. 216)
One atom of each set of equivalent atoms:
Ca: 0.000 0.000 0.000 x4
Tm: 0.250 0.250 0.750 x4
Lu: 0.000 0.000 0.500 x4
Mg: 0.250 0.250 0.250 x4

## Properties
* DOS(E_F): 11.11 states/eV/cell
* formation energy from the elements: 106 meV/atom
* M_tot: 0.00 μB per formula unit
* mass density: 5.6 g/cm3


# 11
This record from Alexandria via LeMat-Bulk describes an optimized crystal structure of Tc4W. The functional is PBE.

Unit cell a=4.653 b=4.653 c=4.653 alpha=90.00 beta=90.00 gamma=90.00
Space group Pm-3m (No. 221)
One atom of each set of equivalent atoms:
Tc: 0.000 0.000 0.000 x1
Tc: 0.000 0.500 0.500 x3
W: 0.500 0.500 0.500 x1

## Properties
* DOS(E_F): 4.47 states/eV/cell
* formation energy from the elements: 1983 meV/atom
* M_tot: 2.37 μB per formula unit
* relative energy among the computed polymorphs: 1251 meV per atom
* mass density: 9.5 g/cm3


# 12
This record from Alexandria via LeMat-Bulk describes an optimized crystal structure of Mg2PbSe. The functional is PBE.

Unit cell a=3.7722 b=3.7722 c=23.8033 alpha=90.00 beta=90.00 gamma=120.00
Space group R3m (No. 160, hexagonal axes)
One atom of each set of equivalent atoms:
Mg: 0.0000 0.0000 0.0000 x3
Mg: 0.0000 0.0000 0.1960 x3
Pb: 0.0000 0.0000 0.4309 x3
Se: 0.0000 0.0000 0.5984 x3

## Properties
* DOS(E_F): 0.93 states/eV/cell
* M_tot: 0.00 μB per formula unit
* relative energy among the computed polymorphs: 43 meV per atom
* ΔE_f (raw): -0.5630 eV per atom
* mass density: 5.7 g/cm3


# 13
This record from Alexandria via LeMat-Bulk describes an optimized crystal structure of RhW2Au. The functional is PBE.

Unit cell a=3.312 b=3.312 c=5.881 alpha=90.00 beta=90.00 gamma=90.00
Space group P4mm (No. 99)
One atom of each set of equivalent atoms:
Rh: 0.000 0.000 0.000 x1
W: 0.000 0.000 0.470 x1
W: 0.500 0.500 0.221 x1
Au: 0.500 0.500 0.736 x1

## Properties
* DOS(E_F): 4.38 states/eV/cell
* formation energy from the elements: 211 meV/atom
* M_tot: 0.00 μB per formula unit
* relative energy among the computed polymorphs: 101 meV per atom
* mass density: 17.2 g/cm3


# 14
This record from Alexandria via LeMat-Bulk describes an optimized crystal structure of NdAlCl. The functional is PBE.

Unit cell a=4.563 b=14.849 c=4.454 alpha=90.00 beta=90.00 gamma=90.00
Space group Cmcm (No. 63)
One atom of each set of equivalent atoms:
Nd: 0.000 0.119 0.250 x4
Al: 0.000 0.459 0.250 x4
Cl: 0.000 0.247 0.750 x4

## Properties
* DOS(E_F): 5.48 states/eV/cell
* M_tot: 0.00 μB per formula unit
* ΔE_f (raw): -1.0827 eV per atom
* mass density: 4.5 g/cm3


# 15
This record from Alexandria via LeMat-Bulk describes an optimized crystal structure of La4TlSiO. The functional is PBE.

Unit cell a=6.815 b=17.200 c=6.842 alpha=90.00 beta=90.00 gamma=90.00
Space group Cmcm (No. 63)
One atom of each set of equivalent atoms:
La: 0.000 0.060 0.250 x4
La: 0.000 0.421 0.250 x4
La: 0.250 0.250 0.000 x8
Tl: 0.000 0.391 0.750 x4
Si: 0.000 0.119 0.750 x4
O: 0.000 0.269 0.250 x4

## Properties
* DOS(E_F): 23.99 states/eV/cell
* M_tot: 0.50 μB per formula unit
* ΔE_f (raw): -1.1036 eV per atom
* mass density: 6.7 g/cm3


# 16
This record from Alexandria via LeMat-Bulk describes an optimized crystal structure of Pm2PrF8. The functional is PBE.

Unit cell a=15.510 b=3.724 c=5.836 alpha=90.00 beta=110.65 gamma=90.00
Space group C2/m (No. 12)
One atom of each set of equivalent atoms:
Pm: 0.179 0.000 0.181 x4
Pr: 0.000 0.500 0.500 x2
F: 0.047 0.000 0.272 x4
F: 0.101 0.500 0.943 x4
F: 0.180 0.500 0.460 x4
F: 0.220 0.000 0.827 x4

## Properties
* DOS(E_F): 2.67 states/eV/cell
* M_tot: 0.89 μB per formula unit
* relative energy among the computed polymorphs: 0 meV per atom
* ΔE_f (raw): -3.8798 eV per atom
* mass density: 6.1 g/cm3


# 17
This record from Alexandria via LeMat-Bulk describes an optimized crystal structure of ZnCr2Rh. The functional is PBE.

Unit cell a=2.996 b=2.996 c=5.909 alpha=90.00 beta=90.00 gamma=90.00
Space group P4mm (No. 99)
One atom of each set of equivalent atoms:
Zn: 0.000 0.000 0.000 x1
Cr: 0.000 0.000 0.472 x1
Cr: 0.500 0.500 0.265 x1
Rh: 0.500 0.500 0.748 x1

## Properties
* DOS(E_F): 2.47 states/eV/cell
* formation energy from the elements: -42 meV/atom
* M_tot: 0.63 μB per formula unit
* mass density: 8.5 g/cm3


# 18
This record from Alexandria via LeMat-Bulk describes an optimized crystal structure of Ba2TlCdIr. The functional is PBE.

Unit cell a=6.031 b=6.031 c=5.318 alpha=90.00 beta=90.00 gamma=90.00
Space group P4/mmm (No. 123)
One atom of each set of equivalent atoms:
Ba: 0.000 0.500 0.000 x2
Tl: 0.000 0.000 0.500 x1
Cd: 0.500 0.500 0.500 x1
Ir: 0.500 0.500 0.000 x1

## Properties
* DOS(E_F): 4.66 states/eV/cell
* formation energy from the elements: -94 meV/atom
* M_tot: 0.00 μB per formula unit
* relative energy among the computed polymorphs: 62 meV per atom
* mass density: 6.7 g/cm3


# 19
This record from Alexandria via LeMat-Bulk describes an optimized crystal structure of CaAg2Os. The functional is PBE.

Unit cell a=2.866 b=5.052 c=10.809 alpha=90.00 beta=90.00 gamma=90.00
Space group Immm (No. 71)
One atom of each set of equivalent atoms:
Ca: 0.000 0.000 0.000 x2
Ag: 0.000 0.500 0.221 x4
Os: 0.000 0.000 0.500 x2

## Properties
* DOS(E_F): 5.82 states/eV/cell
* formation energy from the elements: 453 meV/atom
* M_tot: 0.00 μB per formula unit
* relative energy among the computed polymorphs: 14 meV per atom
* mass density: 9.5 g/cm3


# 20
This record from Alexandria via LeMat-Bulk describes an optimized crystal structure of HfW2I. The functional is PBE.

Unit cell a=3.930 b=3.930 c=21.276 alpha=90.00 beta=90.00 gamma=90.00
Space group I-42d (No. 122)
One atom of each set of equivalent atoms:
Hf: 0.000 0.000 0.000 x4
W: 0.233 0.250 0.125 x8
I: 0.000 0.000 0.500 x4

## Properties
* DOS(E_F): 25.27 states/eV/cell
* M_tot: 0.00 μB per formula unit
* relative energy among the computed polymorphs: 85 meV per atom
* ΔE_f (raw): 1.1441 eV per atom
* mass density: 13.6 g/cm3